Cs5Te4Pb2 | PBE | relaxed

Cell lengths 9.7691, 9.7691, 10.6583 Å; angles 94.04, 94.04, 35.24 degrees
With the nearest neighbours (Å) after each atom.
Sites, in units of the cell vectors:
Cs  0.0000  0.0000  0.0000  2 Pb 3.68, 4 Te 3.88
Cs  0.3402  0.3402  0.0388  5 Te 3.81-4.24, 2 Cs 4.24
Cs  0.3440  0.3440  0.4911  3 Te 3.72-3.84
Cs  0.6560  0.6560  0.5089  3 Te 3.72-3.84
Cs  0.6598  0.6598  0.9612  5 Te 3.81-4.24, 2 Cs 4.24
Te  0.1769  0.1769  0.7393  1 Pb 3.05
Te  0.4805  0.4805  0.7646  2 Pb 3.26
Te  0.5195  0.5195  0.2354  2 Pb 3.26
Te  0.8231  0.8231  0.2607  1 Pb 3.05
Pb  0.0164  0.0164  0.6576  3 Te 3.05-3.26, 1 Pb 3.37
Pb  0.9836  0.9836  0.3424  3 Te 3.05-3.26, 1 Pb 3.37

Results
Raw formation energy in eV per atom: -0.778
Size of the total moment in μB per atom: 0.000